The following is a DFT calculation (PBE-GGA) of an optimized crystal structure of Mg3In.

Unit cell a=3.727 b=5.111 c=9.911 alpha=90.00 beta=90.00 gamma=90.00
Space group Cmmm (No. 65)
One atom of each set of equivalent atoms:
Mg 0.000 0.000 0.000 (multiplicity 2)
Mg 0.000 0.500 0.249 (multiplicity 4)
In 0.000 0.000 0.500 (multiplicity 2)

=====

The following is a DFT calculation (PBE-GGA) of an optimized crystal structure of Mg3In2.

Unit cell a=13.511 b=22.792 c=3.255 alpha=90.00 beta=90.00 gamma=90.00
Space group Fdd2 (No. 43)
One atom of each set of equivalent atoms:
Mg 0.000 0.000 0.000 (multiplicity 8)
Mg 0.104 0.345 0.677 (multiplicity 16)
In 0.077 0.205 0.775 (multiplicity 16)

=====

The following is a DFT calculation (PBE-GGA) of an optimized crystal structure of MgIn.

Unit cell a=5.928 b=5.928 c=6.056 alpha=90.00 beta=90.00 gamma=90.00
Space group P4_2/mnm (No. 136)
One atom of each set of equivalent atoms:
Mg 0.190 0.190 0.000 (multiplicity 4)
In 0.191 0.191 0.500 (multiplicity 4)

=====

The following is a DFT calculation (PBE-GGA) of an optimized crystal structure of Mg5In3.

Unit cell a=14.942 b=8.574 c=5.977 alpha=90.00 beta=90.00 gamma=90.00
Space group Cmcm (No. 63)
One atom of each set of equivalent atoms:
Mg 0.000 0.230 0.250 (multiplicity 4)
Mg 0.115 0.117 0.750 (multiplicity 8)
Mg 0.166 0.500 0.000 (multiplicity 8)
In 0.000 0.402 0.750 (multiplicity 4)
In 0.200 0.199 0.250 (multiplicity 8)

=====

The following is a DFT calculation (PBE-GGA) of an optimized crystal structure of MgIn.

Unit cell a=3.293 b=5.694 c=5.164 alpha=90.00 beta=90.00 gamma=90.00
Space group Pmmn (No. 59, origin choice 2)
One atom of each set of equivalent atoms:
Mg 0.250 0.250 0.095 (multiplicity 2)
In 0.250 0.750 0.405 (multiplicity 2)

=====

The following is a DFT calculation (PBE-GGA) of an optimized crystal structure of Mg3In8.

Unit cell a=10.0994 b=10.0994 c=10.7166 alpha=90.00 beta=90.00 gamma=120.00
Space group R-3 (No. 148, hexagonal axes)
One atom of each set of equivalent atoms:
Mg 0.0000 0.5000 0.0000 (multiplicity 9)
In 0.0000 0.0000 0.3563 (multiplicity 6)
In 0.0205 0.2063 0.8897 (multiplicity 18)

=====

The following is a DFT calculation (PBE-GGA) of an optimized crystal structure of MgIn.

Unit cell a=8.238 b=8.579 c=11.620 alpha=90.00 beta=90.00 gamma=90.00
Space group Fddd (No. 70, origin choice 2)
One atom of each set of equivalent atoms:
Mg 0.125 0.306 0.125 (multiplicity 16)
In 0.057 0.375 0.875 (multiplicity 16)

=====

The following is a DFT calculation (PBE-GGA) of an optimized crystal structure of MgIn4.

Unit cell a=5.401 b=6.169 c=9.358 alpha=73.99 beta=89.90 gamma=64.05
Space group P1 (No. 1)
One atom of each set of equivalent atoms:
Mg 0.000 0.000 0.000 (multiplicity 1)
Mg 0.484 0.027 0.504 (multiplicity 1)
In 0.003 0.003 0.348 (multiplicity 1)
In 0.037 0.858 0.706 (multiplicity 1)
In 0.381 0.173 0.797 (multiplicity 1)
In 0.403 0.515 0.254 (multiplicity 1)
In 0.492 0.028 0.156 (multiplicity 1)
In 0.676 0.515 0.754 (multiplicity 1)
In 0.891 0.530 0.054 (multiplicity 1)
In 0.907 0.498 0.453 (multiplicity 1)

=====

no.,N(E_F) (states/eV/f.u.),spin magnetization (μB per formula unit),calculated total energy (eV per cell)
1,1.8,0.000,-15.01
2,1.5,0.000,-82.29
3,0.8,0.000,-16.48
4,3.8,0.000,-66.10
5,0.7,0.000,-8.88
6,3.3,0.000,-75.40
7,0.9,0.000,-67.82
8,1.9,0.000,-24.97